1.
This record from Alexandria describes a geometry-optimized CaPd3Au structure. The functional is PBE.

Offset from the most stable computed form ... 701 meV per atom
DOS at the Fermi energy ... 0.921 states/eV/atom
Density ... 7.35 g cm⁻³
Energy relative to the elements ... 0.26 eV per atom
E_tot ... -3.91 eV per atom

a = 5.008 Å, b = 5.008 Å, c = 5.008 Å
α = 90.00°, β = 90.00°, γ = 90.00°
Space group Pm-3m (No. 221)
Symmetry-distinct sites (fractional):
Ca 0.000 0.000 0.000 x1
Pd 0.000 0.500 0.500 x3
Au 0.500 0.500 0.500 x1



2.
This record from Alexandria describes a geometry-optimized CaPdAu2 structure. The functional is PBE.

Offset from the most stable computed form ... 373 meV per atom
DOS at the Fermi energy ... 0.367 states/eV/atom
Density ... 9.98 g cm⁻³
Energy relative to the elements ... -0.23 eV per atom
E_tot ... -3.66 eV per atom

a = 3.844 Å, b = 4.035 Å, c = 11.591 Å
α = 90.00°, β = 90.00°, γ = 90.00°
Space group Immm (No. 71)
Symmetry-distinct sites (fractional):
Ca 0.000 0.000 0.000 x2
Pd 0.000 0.000 0.500 x2
Au 0.000 0.000 0.270 x4



3.
This record from Alexandria describes a geometry-optimized Ca4PdAu structure. The functional is PBE.

Offset from the most stable computed form ... 0 meV per atom
DOS at the Fermi energy ... 0.664 states/eV/atom
Density ... 4.31 g cm⁻³
Energy relative to the elements ... -0.57 eV per atom
E_tot ... -3.32 eV per atom

a = 9.437 Å, b = 13.678 Å, c = 6.708 Å
α = 90.00°, β = 124.39°, γ = 90.00°
Space group C2/c (No. 15)
Symmetry-distinct sites (fractional):
Ca 0.124 0.178 0.094 x8
Ca 0.200 0.441 0.266 x8
Pd 0.000 0.003 0.250 x4
Au 0.000 0.364 0.750 x4



4.
This record from Alexandria describes a geometry-optimized CaPd2Au2 structure. The functional is PBE.

Offset from the most stable computed form ... 0 meV per atom
DOS at the Fermi energy ... 0.457 states/eV/atom
Density ... 11.17 g cm⁻³
Energy relative to the elements ... -0.43 eV per atom
E_tot ... -4.22 eV per atom

a = 7.587 Å, b = 7.587 Å, c = 3.341 Å
α = 90.00°, β = 90.00°, γ = 90.00°
Space group P4/mbm (No. 127)
Symmetry-distinct sites (fractional):
Ca 0.000 0.000 0.000 x2
Pd 0.129 0.371 0.000 x4
Au 0.168 0.668 0.500 x4



5.
This record from Alexandria describes a geometry-optimized Ca6Pd3Au structure. The functional is PBE.

DOS at the Fermi energy ... 0.525 states/eV/atom
Density ... 4.51 g cm⁻³
Energy relative to the elements ... -0.58 eV per atom
E_tot ... -3.67 eV per atom

a = 10.884 Å, b = 4.200 Å, c = 12.991 Å
α = 90.00°, β = 110.25°, γ = 90.00°
Space group P2_1/m (No. 11)
Symmetry-distinct sites (fractional):
Ca 0.019 0.250 0.388 x2
Ca 0.074 0.250 0.909 x2
Ca 0.243 0.750 0.322 x2
Ca 0.342 0.750 0.098 x2
Ca 0.343 0.750 0.800 x2
Ca 0.389 0.250 0.567 x2
Pd 0.140 0.250 0.157 x2
Pd 0.194 0.750 0.529 x2
Pd 0.406 0.250 0.967 x2
Au 0.424 0.250 0.291 x2



6.
This record from Alexandria describes a geometry-optimized Ca3Pd2Au4 structure. The functional is PBE.

DOS at the Fermi energy ... 0.398 states/eV/atom
Density ... 9.17 g cm⁻³
Energy relative to the elements ... -0.64 eV per atom
E_tot ... -3.92 eV per atom

a = 4.676 Å, b = 5.574 Å, c = 8.769 Å
α = 100.90°, β = 90.15°, γ = 114.74°
Space group P-1 (No. 2)
Symmetry-distinct sites (fractional):
Ca 0.000 0.000 0.000 x1
Ca 0.388 0.777 0.623 x2
Pd 0.279 0.556 0.247 x2
Au 0.095 0.192 0.633 x2
Au 0.291 0.582 0.926 x2



7.
This record from Alexandria describes a geometry-optimized CaPd7Au2 structure. The functional is PBE.

DOS at the Fermi energy ... 1.625 states/eV/atom
Density ... 8.94 g cm⁻³
Energy relative to the elements ... 0.24 eV per atom
E_tot ... -4.25 eV per atom

a = 7.196 Å, b = 13.297 Å, c = 4.576 Å
α = 90.00°, β = 90.00°, γ = 90.00°
Space group Cmmm (No. 65)
Symmetry-distinct sites (fractional):
Ca 0.000 0.000 0.000 x2
Pd 0.000 0.202 0.000 x4
Pd 0.000 0.500 0.500 x2
Pd 0.181 0.107 0.500 x8
Au 0.000 0.298 0.500 x4



8.
This record from Alexandria describes a geometry-optimized CaPd6Au23 structure. The functional is PBE.

DOS at the Fermi energy ... 0.251 states/eV/atom
Density ... 15.73 g cm⁻³
Energy relative to the elements ... -0.11 eV per atom
E_tot ... -3.73 eV per atom

a = 8.174 Å, b = 8.174 Å, c = 16.463 Å
α = 90.00°, β = 90.00°, γ = 90.00°
Space group I4/mmm (No. 139)
Symmetry-distinct sites (fractional):
Ca 0.000 0.000 0.000 x2
Pd 0.000 0.000 0.247 x4
Pd 0.248 0.248 0.500 x8
Au 0.000 0.000 0.500 x2
Au 0.000 0.249 0.373 x16
Au 0.000 0.257 0.128 x16
Au 0.000 0.500 0.000 x4
Au 0.250 0.250 0.250 x8